Record 1
# Dy2ScSnC | Alexandria | PBE-GGA | optimized geometry
# Calculated density ... 7.609 Mg/m³
# N(E_F) ... 2.356 states/eV/f.u.
# E ... -6.422 eV per atom
# Total moment ... 0.0 μB per formula unit
# Energy of formation ... -669 meV/atom
data_Dy2ScSnC
_chemical_formula_sum 'Dy2 Sc1 Sn1 C1'
_space_group_name_H-M_alt 'P 1'
_space_group_IT_number 1
_space_group_name_Hall 'P 1'
_cell_length_a 4.887
_cell_length_b 4.887
_cell_length_c 4.575
_cell_angle_alpha 90.00
_cell_angle_beta 90.00
_cell_angle_gamma 90.00
loop_
_atom_site_label
_atom_site_fract_x
_atom_site_fract_y
_atom_site_fract_z
Dy1 0.000 0.500 0.000
Dy2 0.500 0.000 0.000
Sc1 0.000 0.000 0.500
Sn1 0.500 0.500 0.500
C1 0.000 0.000 0.000

***

Record 2
# Al6Cu | Alexandria | PBE-GGA | optimized geometry
# Calculated density ... 1.919 Mg/m³
# N(E_F) ... 5.471 states/eV/f.u.
# E ... -2.804 eV per atom
# Total moment ... 0.0 μB per formula unit
# Energy of formation ... 990 meV/atom
data_Al6Cu
_chemical_formula_sum 'Al6 Cu1'
_space_group_name_H-M_alt 'P 1'
_space_group_IT_number 1
_space_group_name_Hall 'P 1'
_cell_length_a 6.328
_cell_length_b 6.328
_cell_length_c 6.328
_cell_angle_alpha 109.47
_cell_angle_beta 109.47
_cell_angle_gamma 109.47
loop_
_atom_site_label
_atom_site_fract_x
_atom_site_fract_y
_atom_site_fract_z
Al1 0.250 0.500 0.750
Al2 0.250 0.750 0.500
Al3 0.500 0.250 0.750
Al4 0.500 0.750 0.250
Al5 0.750 0.250 0.500
Al6 0.750 0.500 0.250
Cu1 0.000 0.000 0.000

***

Question: Which formula does entry 1 have?
Answer: Dy2ScSnC

***

Repeat the second record exactly.
# Al6Cu | Alexandria | PBE-GGA | optimized geometry
# Calculated density ... 1.919 Mg/m³
# N(E_F) ... 5.471 states/eV/f.u.
# E ... -2.804 eV per atom
# Total moment ... 0.0 μB per formula unit
# Energy of formation ... 990 meV/atom
data_Al6Cu
_chemical_formula_sum 'Al6 Cu1'
_space_group_name_H-M_alt 'P 1'
_space_group_IT_number 1
_space_group_name_Hall 'P 1'
_cell_length_a 6.328
_cell_length_b 6.328
_cell_length_c 6.328
_cell_angle_alpha 109.47
_cell_angle_beta 109.47
_cell_angle_gamma 109.47
loop_
_atom_site_label
_atom_site_fract_x
_atom_site_fract_y
_atom_site_fract_z
Al1 0.250 0.500 0.750
Al2 0.250 0.750 0.500
Al3 0.500 0.250 0.750
Al4 0.500 0.750 0.250
Al5 0.750 0.250 0.500
Al6 0.750 0.500 0.250
Cu1 0.000 0.000 0.000

***

Question: total moment of number 2 (Al6Cu)?
Answer: 0.0 μB per formula unit